Entry 1:
An optimized crystal structure of Ba4Hg5Pb. Source: Alexandria, functional PBE.

## Properties
Energy relative to the elements in eV/atom: -0.45
Space-group type: No. 123
V in Å³/f.u.: 350.9
Calculated total energy in eV per atom: -1.74

Cell: 4.168 4.168 20.201 Å, 90.00 90.00 90.00°
Positions (direct):
Ba (0.000, 0.000, 0.106)
Ba (0.000, 0.000, 0.315)
Ba (0.000, 0.000, 0.685)
Ba (0.000, 0.000, 0.894)
Hg (0.500, 0.500, 0.000)
Hg (0.500, 0.500, 0.210)
Hg (0.500, 0.500, 0.413)
Hg (0.500, 0.500, 0.587)
Hg (0.500, 0.500, 0.790)
Pb (0.000, 0.000, 0.500)

Entry 2:
An optimized crystal structure of Ba3Hg3Pb8. Source: Alexandria, functional PBE.

## Properties
Energy relative to the elements in eV/atom: -0.32
Space-group type: No. 71
V in Å³/f.u.: 480.6
Calculated total energy in eV per atom: -2.92

Cell: 9.956 9.956 9.956 Å, 149.03 104.25 84.06°
Positions (direct):
Ba (0.000, 0.000, 0.000)
Ba (0.306, 0.306, 0.000)
Ba (0.694, 0.694, 0.000)
Hg (0.337, 0.500, 0.837)
Hg (0.500, 0.000, 0.500)
Hg (0.663, 0.500, 0.163)
Pb (0.002, 0.638, 0.364)
Pb (0.130, 0.848, 0.282)
Pb (0.274, 0.638, 0.636)
Pb (0.435, 0.152, 0.282)
Pb (0.565, 0.848, 0.718)
Pb (0.726, 0.362, 0.364)
Pb (0.870, 0.152, 0.718)
Pb (0.998, 0.362, 0.636)